[1]
Entry from the Alexandria database: a geometry-optimized PaGaNi3 structure (PBE).

a b c (Å): 4.742 4.742 7.321
angles (deg): 90.00 108.90 90.00
Fractional coordinates of all 10 atoms:
Ga  0.545  0.250  0.091
Ga  0.455  0.750  0.909
Ni  0.000  0.500  0.000
Ni  0.612  0.250  0.733
Ni  0.879  0.750  0.267
Ni  0.000  0.000  0.000
Pa  0.811  0.750  0.622
Pa  0.189  0.250  0.378
Ni  0.121  0.250  0.733
Ni  0.388  0.750  0.267

Properties
- Energy of formation from the pure elements: -0.28 eV/atom
- ΔE to the lowest computed polymorph: 83 meV/atom


[2]
Entry from the Alexandria database: a geometry-optimized Pr5PdRh2 structure (PBE).

a b c (Å): 7.850 7.850 8.939
angles (deg): 116.05 116.05 90.00
Fractional coordinates of all 16 atoms:
Pr  0.194  0.027  0.722
Pr  0.500  0.500  0.000
Rh  0.134  0.366  0.000
Pr  0.306  0.806  0.278
Pr  0.473  0.306  0.278
Pd  0.250  0.250  0.500
Pr  0.527  0.694  0.722
Pr  0.806  0.973  0.278
Rh  0.866  0.634  0.000
Pr  0.694  0.194  0.722
Pr  0.000  0.000  0.000
Rh  0.366  0.866  0.000
Pr  0.973  0.473  0.278
Rh  0.634  0.134  0.000
Pd  0.750  0.750  0.500
Pr  0.027  0.527  0.722

Properties
- Energy of formation from the pure elements: -0.55 eV/atom


[3]
Entry from the Alexandria database: a geometry-optimized CsBaSb structure (PBE).

a b c (Å): 6.251 6.251 7.699
angles (deg): 90.00 90.00 120.02
Fractional coordinates of all 6 atoms:
Sb  0.333  0.167  0.250
Sb  0.667  0.833  0.750
Ba  0.333  0.167  0.750
Cs  0.000  0.500  0.500
Ba  0.667  0.833  0.250
Cs  0.000  0.500  0.000

Properties
- E_form (uncorrected): -71.7 kJ per mole of atoms


Number 1: magnetic moment 0.00 μB/f.u.. Number 2: magnetic moment 0.00 μB/f.u.. Number 3: magnetic moment 0.00 μB/f.u..